Entry 1:
The following is a DFT calculation (PBE) of an optimized crystal structure of NbBr2Cl3.

## Properties
* density: 3.05 Mg/m³

Cell and atoms, written as CIF:
```
data_NbBr2Cl3
_chemical_formula_sum 'Nb2 Br4 Cl6'
_space_group_name_H-M_alt 'P -1'
_space_group_IT_number 2
_cell_length_a 6.6055
_cell_length_b 7.1311
_cell_length_c 9.8664
_cell_angle_alpha 108.99
_cell_angle_beta 92.65
_cell_angle_gamma 114.64
loop_
_space_group_symop_operation_xyz
'x,y,z'
'-x,-y,-z'
loop_
_atom_site_label
_atom_site_type_symbol
_atom_site_fract_x
_atom_site_fract_y
_atom_site_fract_z
Nb1 Nb 0.1093 0.2227 0.2218
Br1 Br 0.0712 0.8158 0.5721
Br2 Br 0.2382 0.1820 0.9579
Cl1 Cl 0.1071 0.6257 0.8503
Cl2 Cl 0.2999 0.0193 0.2454
Cl3 Cl 0.4295 0.5591 0.3239
```

Entry 2:
The following is a DFT calculation (PBE) of an optimized crystal structure of NbBr2Cl3.

## Properties
* density: 3.05 Mg/m³

Cell and atoms, written as CIF:
```
data_NbBr2Cl3
_chemical_formula_sum 'Nb2 Br4 Cl6'
_space_group_name_H-M_alt 'P -1'
_space_group_IT_number 2
_cell_length_a 6.7995
_cell_length_b 7.3249
_cell_length_c 9.6577
_cell_angle_alpha 110.68
_cell_angle_beta 90.11
_cell_angle_gamma 117.62
loop_
_space_group_symop_operation_xyz
'x,y,z'
'-x,-y,-z'
loop_
_atom_site_label
_atom_site_type_symbol
_atom_site_fract_x
_atom_site_fract_y
_atom_site_fract_z
Nb1 Nb 0.1051 0.2176 0.2201
Br1 Br 0.1140 0.6226 0.8482
Br2 Br 0.3022 0.0144 0.2475
Cl1 Cl 0.0648 0.8173 0.5798
Cl2 Cl 0.2206 0.1698 0.9587
Cl3 Cl 0.4289 0.5596 0.3225
```

| no. | total energy (eV/cell) |
| --- | --- |
| 1 | -50.8 |
| 2 | -50.8 |